VASP calculation (GGA-PBE) on a relaxed Be5Cd4 crystal.

POSCAR file:
```
Be5Cd4
1.0
0.5061 -1.5336 5.9662
2.2359 3.6960 -4.4209
-5.3700 2.9981 0.6152
Be Cd
5 4
Cartesian
0.0000 0.0000 0.0000 Be
1.5992 1.7708 -0.5972 Be
1.1429 0.3915 2.1425 Be
0.3163 2.1571 1.1387 Be
-2.9442 3.0034 1.0218 Be
-1.4819 0.4462 2.0052 Cd
-3.3820 1.0183 4.5762 Cd
-2.1792 4.6546 -2.6462 Cd
-0.9549 2.0395 -1.1595 Cd
```

SG: I4/mmm
ρ (g/cm3): 6.2
E_form (eV per formula unit): 3.70
Size of the total moment (μB/atom): 0.000
Fermi-level density of states (states/eV/f.u.): 1.55